GeSbAu2 after structural relaxation, computed with PBE-GGA.

## Properties
For the total energy, the calculation gives -59.20 eV per cell. As for the density of states at the Fermi level: 8.101 states/eV per cell.

Unit cell a=6.930 b=6.930 c=6.930 alpha=90.00 beta=90.00 gamma=90.00
Space group Fm-3m (No. 225)
Inequivalent atoms, fractional coordinates:
Ge (0.000, 0.000, 0.000) x4
Sb (0.000, 0.000, 0.500) x4
Au (0.250, 0.250, 0.250) x8